# Rb2InGa2 | the Alexandria database | GGA-PBE | relaxed
data_Rb2InGa2
_symmetry_space_group_name_H-M 'P 1'
_symmetry_Int_Tables_number 1
_symmetry_space_group_name_Hall 'P 1'
_cell_length_a 6.464
_cell_length_b 9.012
_cell_length_c 7.758
_cell_angle_alpha 81.41
_cell_angle_beta 65.38
_cell_angle_gamma 68.98
loop_
_atom_site_label
_atom_site_type_symbol
_atom_site_fract_x
_atom_site_fract_y
_atom_site_fract_z
Rb1 Rb 0.512 0.287 0.690
Rb2 Rb 0.488 0.713 0.310
Rb3 Rb 0.798 0.713 0.690
Rb4 Rb 0.202 0.287 0.310
In1 In 0.143 0.714 0.000
In2 In 0.857 0.286 0.000
Ga1 Ga 0.877 0.000 0.246
Ga2 Ga 0.703 0.000 0.000
Ga3 Ga 0.297 0.000 0.000
Ga4 Ga 0.123 0.000 0.754
# - crystal system = orthorhombic
# - energy of formation from the pure elements (eV per formula unit) = -0.4
# - theoretical density (g/cm3) = 3.7
# - total energy (eV/atom) = -2.232



# Rb2In12Ga | the Alexandria database | GGA-PBE | relaxed
data_Rb2In12Ga
_symmetry_space_group_name_H-M 'P 1'
_symmetry_Int_Tables_number 1
_symmetry_space_group_name_Hall 'P 1'
_cell_length_a 7.067
_cell_length_b 7.067
_cell_length_c 18.318
_cell_angle_alpha 90.00
_cell_angle_beta 90.00
_cell_angle_gamma 90.00
loop_
_atom_site_label
_atom_site_type_symbol
_atom_site_fract_x
_atom_site_fract_y
_atom_site_fract_z
Rb1 Rb 0.500 0.000 0.249
Rb2 Rb 0.000 0.500 0.249
Rb3 Rb 0.000 0.500 0.751
Rb4 Rb 0.500 0.000 0.751
In1 In 0.500 0.500 0.819
In2 In 0.000 0.000 0.819
In3 In 0.750 0.750 0.913
In4 In 0.250 0.750 0.913
In5 In 0.000 0.000 0.346
In6 In 0.250 0.750 0.087
In7 In 0.835 0.335 0.567
In8 In 0.500 0.500 0.346
In9 In 0.250 0.250 0.913
In10 In 0.750 0.750 0.087
In11 In 0.335 0.165 0.567
In12 In 0.665 0.165 0.433
In13 In 0.000 0.000 0.654
In14 In 0.165 0.335 0.433
In15 In 0.250 0.250 0.087
In16 In 0.835 0.665 0.433
In17 In 0.665 0.835 0.567
In18 In 0.000 0.000 0.181
In19 In 0.165 0.665 0.567
In20 In 0.500 0.500 0.654
In21 In 0.750 0.250 0.913
In22 In 0.500 0.500 0.181
In23 In 0.335 0.835 0.433
In24 In 0.750 0.250 0.087
Ga1 Ga 0.500 0.000 0.000
Ga2 Ga 0.000 0.500 0.000
# - crystal system = tetragonal
# - energy of formation from the pure elements (eV per formula unit) = -0.8
# - theoretical density (g/cm3) = 5.9
# - total energy (eV/atom) = -2.574



> Which of these has the lowest energy of formation from the pure elements?

Rb2In12Ga